[1]
NaTl8Te6: relaxed, PBE.

Unit cell a=11.0485 b=11.0485 c=11.0485 alpha=41.58 beta=41.58 gamma=41.58
Positions (direct):
Tl1 0.4513 0.1269 0.7916
Tl2 0.2084 0.5487 0.8731
Tl3 0.3345 0.3345 0.3345
Tl4 0.1269 0.7916 0.4513
Tl5 0.5487 0.8731 0.2084
Tl6 0.7916 0.4513 0.1269
Tl7 0.8731 0.2084 0.5487
Tl8 0.6655 0.6655 0.6655
Na1 0.0000 0.0000 0.0000
Te1 0.9400 0.5936 0.2743
Te2 0.2743 0.9400 0.5936
Te3 0.7257 0.0600 0.4064
Te4 0.5936 0.2743 0.9400
Te5 0.4064 0.7257 0.0600
Te6 0.0600 0.4064 0.7257

Output
* energy: -2.878 eV per atom
* space group: R-3, No. 148
* DOS at the Fermi energy: 6.0 states/eV/cell

[2]
Na5TlTe3: relaxed, PBE.

Unit cell a=5.0894 b=8.9500 c=13.9277 alpha=90.00 beta=90.00 gamma=106.52
Positions (direct):
Te1 0.9250 0.8500 0.2500
Te2 0.0750 0.1500 0.7500
Te3 0.3734 0.7469 0.5559
Te4 0.6266 0.2531 0.4441
Te5 0.6266 0.2531 0.0559
Te6 0.3734 0.7469 0.9441
Na1 0.1940 0.3880 0.9311
Na2 0.5413 0.0826 0.8637
Na3 0.8060 0.6120 0.4311
Na4 0.0000 0.0000 0.5000
Na5 0.8060 0.6120 0.0689
Na6 0.4587 0.9174 0.1363
Na7 0.1940 0.3880 0.5689
Na8 0.0000 0.0000 0.0000
Na9 0.5413 0.0826 0.6363
Na10 0.4587 0.9174 0.3637
Tl1 0.8764 0.7528 0.7500
Tl2 0.1236 0.2472 0.2500

Output
* energy: -2.810 eV per atom
* space group: Cmcm, No. 63
* DOS at the Fermi energy: 0.0 states/eV/cell

[3]
Na2TlTe2: relaxed, PBE.

Unit cell a=9.2079 b=9.2079 c=3.5310 alpha=90.00 beta=90.00 gamma=90.00
Positions (direct):
Tl1 0.5000 0.5000 0.0000
Tl2 0.0000 0.0000 0.0000
Na1 0.6247 0.1247 0.0000
Na2 0.8753 0.6247 0.0000
Na3 0.3753 0.8753 0.0000
Na4 0.1247 0.3753 0.0000
Te1 0.6738 0.8262 0.5000
Te2 0.8262 0.3262 0.5000
Te3 0.3262 0.1738 0.5000
Te4 0.1738 0.6738 0.5000

Output
* space group: P4/mbm, No. 127
* offset from the most stable computed form: 0.000 eV per formula unit
* DOS at the Fermi energy: 1.3 states/eV/cell

Number 1: M_tot 0.00 μB per formula unit. Number 2: M_tot 0.00 μB per formula unit. Number 3: M_tot 0.00 μB per formula unit.